# PIrOs2 PBE relaxed
data_PIrOs2
_space_group_name_H-M_alt 'P 4/m m m'
_space_group_IT_number 123
_space_group_name_Hall '-P 4 2'
_cell_length_a 3.8440
_cell_length_b 3.8440
_cell_length_c 3.7968
_cell_angle_alpha 90.00
_cell_angle_beta 90.00
_cell_angle_gamma 90.00
loop_
_atom_site_label
_atom_site_fract_x
_atom_site_fract_y
_atom_site_fract_z
_atom_site_occupancy
P1 0.0000 0.0000 0.0000 1
Ir1 0.5000 0.5000 0.0000 1
Os1 0.0000 0.5000 0.5000 1
# Formation enthalpy at 0 K: 0.530 eV per atom
# Crystal system: tetragonal
# Size of the total moment: 0.00 μB/f.u.